No. 1
DFT (PBE-GGA) results for a relaxed TbMg2InGa crystal.

## Properties
As for the space group: Cmcm.

Cell lengths 3.5039, 8.8851, 8.3803 Å; angles 90.00, 90.00, 101.37 degrees
Closest atoms and distances in Å follow each position.
Element x y z (fractional)
Mg (0.8263, 0.6526, 0.4407)  3 Ga 2.80-2.84, 1 In 3.07
Mg (0.1737, 0.3474, 0.5593)  3 Ga 2.80-2.84, 1 In 3.07
Mg (0.8263, 0.6526, 0.0593)  3 Ga 2.80-2.84, 1 In 3.07
Mg (0.1737, 0.3474, 0.9407)  3 Ga 2.80-2.84, 1 In 3.07
Ga (0.7593, 0.5185, 0.7500)  6 Mg 2.80-2.84, 2 Tb 3.04
Ga (0.2407, 0.4815, 0.2500)  6 Mg 2.80-2.84, 2 Tb 3.04
In (0.0000, 0.0000, 0.5000)  2 Mg 3.07, 4 Tb 3.22
In (0.0000, 0.0000, 0.0000)  2 Mg 3.07, 4 Tb 3.22
Tb (0.5982, 0.1964, 0.2500)  2 Ga 3.04, 4 In 3.22, 4 Mg 3.39
Tb (0.4018, 0.8036, 0.7500)  2 Ga 3.04, 4 In 3.22, 4 Mg 3.39



No. 2
DFT (PBE-GGA) results for a relaxed TbMgInGa crystal.

## Properties
As for the space group: Pmmm. As for the offset from the most stable computed form: 0 meV per atom.

Cell lengths 4.3871, 4.4572, 4.6069 Å; angles 90.00, 90.00, 90.00 degrees
Closest atoms and distances in Å follow each position.
Element x y z (fractional)
Tb (0.0000, 0.0000, 0.0000)  4 Ga 3.13, 4 In 3.18, 4 Mg 3.21
Mg (0.0000, 0.5000, 0.5000)  4 In 3.13, 4 Ga 3.18, 4 Tb 3.21
In (0.5000, 0.0000, 0.5000)  4 Mg 3.13, 4 Tb 3.18, 4 Ga 3.21
Ga (0.5000, 0.5000, 0.0000)  4 Tb 3.13, 4 Mg 3.18, 4 In 3.21



No. 3
DFT (PBE-GGA) results for a relaxed MgTlInGa crystal.

## Properties
As for the space group: F-43m.

Cell lengths 5.1882, 5.1882, 5.1882 Å; angles 60.00, 60.00, 60.00 degrees
Closest atoms and distances in Å follow each position.
Element x y z (fractional)
Ga (0.0000, 0.0000, 0.0000)  4 Tl 3.18, 4 In 3.18
In (0.7500, 0.7500, 0.7500)  4 Mg 3.18, 4 Ga 3.18
Tl (0.2500, 0.2500, 0.2500)  4 Mg 3.18, 4 Ga 3.18
Mg (0.5000, 0.5000, 0.5000)  4 Tl 3.18, 4 In 3.18



no.,energy of formation (eV per atom)
1,-0.1972
2,-0.4195
3,0.0686